Record 1
VASP calculation (PBE-GGA) on an optimized crystal structure of La3HgIr.

M_tot = 0.000 μB per atom
E above lowest polymorph = 41.8 meV per atom
energy relative to the elements = -2.7 eV/f.u.

a = 5.8320 Å, b = 7.0625 Å, c = 9.1056 Å
α = 111.01°, β = 90.05°, γ = 114.31°
Closest atoms and distances in Å follow each position.
Fractional positions:
La  0.1049  0.2104  0.2252  2 Ir 2.84-2.85
La  0.1643  0.3278  0.6424  1 Ir 2.80
La  0.3791  0.7589  0.1030  3 Ir 2.92-2.93
La  0.6209  0.2411  0.8970  3 Ir 2.92-2.93
La  0.8357  0.6722  0.3576  1 Ir 2.80
La  0.8951  0.7896  0.7748  2 Ir 2.84-2.85
Hg  0.3883  0.7771  0.5384  1 Hg 3.21, 4 La 3.29-3.45
Hg  0.6117  0.2229  0.4616  1 Hg 3.21, 4 La 3.29-3.45
Ir  0.1343  0.2676  0.9302  6 La 2.80-2.93
Ir  0.8657  0.7324  0.0698  6 La 2.80-2.93

---

Record 2
VASP calculation (PBE-GGA) on an optimized crystal structure of La2HgIr2.

M_tot = 0.000 μB per atom
energy relative to the elements = -3.0 eV/f.u.

a = 5.7437 Å, b = 5.7437 Å, c = 5.7437 Å
α = 133.07°, β = 115.90°, γ = 83.12°
Closest atoms and distances in Å follow each position.
Fractional positions:
La  0.2101  0.2101  0.0000  6 Ir 3.06-3.18, 2 Hg 3.38
La  0.7899  0.7899  0.0000  6 Ir 3.06-3.18, 2 Hg 3.38
Hg  0.5000  0.0000  0.5000  4 Ir 2.89
Ir  0.2090  0.5000  0.7090  1 Ir 2.55
Ir  0.7910  0.5000  0.2910  1 Ir 2.55